No. 1
Pm3NiTeCl: relaxed, PBE.

Cell and atoms, written as POSCAR:
```
Pm3NiTeCl
1.0
7.334 0.000 0.000
0.000 4.010 0.000
-2.058 0.000 11.100
Pm Ni Te Cl
6 2 2 2
Direct
0.215 0.250 0.007 Pm
0.233 0.250 0.611 Pm
0.265 0.750 0.317 Pm
0.735 0.250 0.683 Pm
0.767 0.750 0.389 Pm
0.785 0.750 0.993 Pm
0.490 0.750 0.555 Ni
0.510 0.250 0.445 Ni
0.059 0.750 0.801 Te
0.941 0.250 0.199 Te
0.474 0.750 0.127 Cl
0.526 0.250 0.873 Cl
```

For the density of states at the Fermi level, the calculation gives 0.625 states/eV/atom. For the formation energy without anion corrections, the calculation gives -1025 meV per atom. Its space group is No. 11.



No. 2
TbPrErMg: relaxed, PBE.

Cell and atoms, written as POSCAR:
```
TbPrErMg
1.0
3.671 0.000 0.000
0.000 3.671 0.000
0.000 0.000 9.054
Tb Pr Er Mg
1 1 1 1
Direct
0.000 0.000 0.000 Tb
0.500 0.500 0.278 Pr
0.000 0.000 0.553 Er
0.500 0.500 0.773 Mg
```

The energy above the most stable polymorph in this dataset is 0.00 eV/f.u. For the density of states at the Fermi level, the calculation gives 1.211 states/eV/atom. The formation energy is -26 meV per atom. Its space group is No. 99.



No. 3
MnInHg: relaxed, PBE.

Cell and atoms, written as POSCAR:
```
MnInHg
1.0
4.680 0.000 0.000
-2.340 4.053 0.000
0.000 0.000 3.317
Mn In Hg
1 1 1
Direct
0.000 0.000 0.000 Mn
0.333 0.667 0.607 In
0.667 0.333 0.254 Hg
```

The energy above the most stable polymorph in this dataset is 0.22 eV/f.u. For the density of states at the Fermi level, the calculation gives 0.542 states/eV/atom. The formation energy is 321 meV per atom. Its space group is No. 156.



No. 4
Ce2TaSi4Pt3: relaxed, PBE.

Cell and atoms, written as POSCAR:
```
Ce2TaSi4Pt3
1.0
4.229 0.000 0.000
0.000 4.229 0.000
0.000 0.000 10.248
Ce Ta Si Pt
2 1 4 3
Direct
0.000 0.500 0.241 Ce
0.500 0.000 0.759 Ce
0.000 0.000 0.500 Ta
0.000 0.000 0.000 Si
0.000 0.500 0.644 Si
0.500 0.000 0.356 Si
0.500 0.500 0.000 Si
0.000 0.500 0.882 Pt
0.500 0.000 0.118 Pt
0.500 0.500 0.500 Pt
```

For the density of states at the Fermi level, the calculation gives 1.066 states/eV/atom. For the formation energy without anion corrections, the calculation gives -950 meV per atom. Its space group is No. 115.



Number 1: final energy -31.169 eV per formula unit. Number 2: final energy -15.670 eV per formula unit. Number 3: final energy -11.246 eV per formula unit. Number 4: final energy -73.040 eV per formula unit.